The following is a DFT calculation (PBE) of a geometry-optimized ZrScTl2 structure.

Cell and atoms, written as POSCAR:
```
ZrScTl2
1.0
3.2980 0.0000 0.0000
0.0000 5.3096 0.0000
0.0000 0.0000 5.3093
Zr Sc Tl
1 1 2
direct
0.0000 0.0000 0.0000 Zr
0.0000 0.5000 0.5014 Sc
0.5000 0.0000 0.5001 Tl
0.5000 0.5000 0.0014 Tl
```

Summary:
The crystal system is orthorhombic. As for the energy of formation from the pure elements: -0.4 eV/f.u.